A plane-wave DFT calculation with PBE-GGA was carried out for NaTa3O after structural relaxation.

The formation energy without anion corrections comes out at 0.03 eV/atom. The energy above the most stable polymorph in this dataset comes out at 0.0 meV/atom. As for the space group: Pm-3m (221).

a = 4.3268 Å, b = 4.3268 Å, c = 4.3268 Å
α = 90.00°, β = 90.00°, γ = 90.00°
Closest atoms and distances in Å follow each position.
Atoms (fractional coordinates):
O (0.0000, 0.0000, 0.0000)  6 Ta 2.16
Ta (0.0000, 0.5000, 0.0000)  2 O 2.16
Ta (0.0000, 0.0000, 0.5000)  2 O 2.16
Ta (0.5000, 0.0000, 0.0000)  2 O 2.16
Na (0.5000, 0.5000, 0.5000)  12 Ta 3.06

A plane-wave DFT calculation with PBE-GGA was carried out for TbErPd after structural relaxation.

The energy of formation from the pure elements is -511 meV per atom. The energy above the most stable polymorph in this dataset comes out at 52.0 meV/atom. As for the space group: P2_1/c (14).

a = 6.6947 Å, b = 7.0359 Å, c = 7.3699 Å
α = 75.37°, β = 90.00°, γ = 90.00°
Closest atoms and distances in Å follow each position.
Atoms (fractional coordinates):
Pd (0.9560, 0.2164, 0.2001)  3 Er 2.82-2.93, 4 Tb 2.88-3.00
Pd (0.5440, 0.2164, 0.7001)  3 Er 2.82-2.93, 4 Tb 2.88-3.00
Pd (0.0440, 0.7836, 0.7999)  3 Er 2.82-2.93, 4 Tb 2.88-3.00
Pd (0.4560, 0.7836, 0.2999)  3 Er 2.82-2.93, 4 Tb 2.88-3.00
Tb (0.2498, 0.0642, 0.9841)  4 Pd 2.88-3.00
Tb (0.2502, 0.0642, 0.4841)  4 Pd 2.88-3.00
Tb (0.7502, 0.9358, 0.0159)  4 Pd 2.88-3.00
Tb (0.7498, 0.9358, 0.5159)  4 Pd 2.88-3.00
Er (0.2433, 0.5406, 0.1102)  3 Pd 2.82-2.93
Er (0.7567, 0.4594, 0.8898)  3 Pd 2.82-2.93
Er (0.2567, 0.5406, 0.6102)  3 Pd 2.82-2.93
Er (0.7433, 0.4594, 0.3898)  3 Pd 2.82-2.93

A plane-wave DFT calculation with PBE-GGA was carried out for Ac3AgPt after structural relaxation.

The energy of formation from the pure elements is -578 meV per atom. The energy above the most stable polymorph in this dataset comes out at 0.0 meV/atom. As for the space group: Cmcm (63).

a = 4.4108 Å, b = 7.4411 Å, c = 11.4043 Å
α = 90.00°, β = 90.00°, γ = 107.24°
Closest atoms and distances in Å follow each position.
Atoms (fractional coordinates):
Ac (0.3623, 0.7245, 0.5627)  2 Pt 3.03
Ac (0.3623, 0.7245, 0.9373)  2 Pt 3.03
Ac (0.6377, 0.2755, 0.4373)  2 Pt 3.03
Ac (0.9226, 0.8451, 0.2500)  2 Pt 3.06, 2 Ag 3.30
Ac (0.0774, 0.1549, 0.7500)  2 Pt 3.06, 2 Ag 3.30
Ac (0.6377, 0.2755, 0.0627)  2 Pt 3.03
Ag (0.7498, 0.4995, 0.7500)  6 Ac 3.30-3.46
Ag (0.2502, 0.5005, 0.2500)  6 Ac 3.30-3.46
Pt (0.0000, 0.0000, 0.0000)  6 Ac 3.03-3.06
Pt (0.0000, 0.0000, 0.5000)  6 Ac 3.03-3.06

A plane-wave DFT calculation with PBE-GGA was carried out for CdGaRuPb2 after structural relaxation.

The energy of formation from the pure elements is 1098 meV per atom. As for the space group: P4/mmm (123).

a = 5.4186 Å, b = 4.9427 Å, c = 5.4186 Å
α = 90.00°, β = 90.00°, γ = 90.00°
Closest atoms and distances in Å follow each position.
Atoms (fractional coordinates):
Pb (0.5000, 0.0000, 0.0000)  2 Ga 2.71
Pb (0.0000, 0.0000, 0.5000)  2 Ga 2.71
Ru (0.5000, 0.5000, 0.5000)  8 Pb 3.67, 4 Cd 3.83
Cd (0.0000, 0.5000, 0.0000)  2 Ga 2.47
Ga (0.0000, 0.0000, 0.0000)  2 Cd 2.47, 4 Pb 2.71

| no. | DOS at the Fermi energy (states/eV per atom) | DFT total energy (eV per atom) |
| --- | --- | --- |
| 1 | 1.09 | -8.3384 |
| 2 | 1.05 | -5.3059 |
| 3 | 0.88 | -4.8213 |
| 4 | 1.25 | -3.0288 |